Run 1
# Cs2ReTe PBE optimized geometry
data_Cs2ReTe
_symmetry_space_group_name_H-M 'F m -3 m'
_symmetry_Int_Tables_number 225
_symmetry_space_group_name_Hall '-F 4 2 3'
_cell_length_a 9.0335
_cell_length_b 9.0335
_cell_length_c 9.0335
_cell_angle_alpha 90.00
_cell_angle_beta 90.00
_cell_angle_gamma 90.00
loop_
_atom_site_label
_atom_site_fract_x
_atom_site_fract_y
_atom_site_fract_z
Cs1 0.2500 0.2500 0.2500
Re1 0.0000 0.0000 0.0000
Te1 0.0000 0.0000 0.5000
# - total magnetization (μB per atom) = 1.250

***

Run 2
# Cs2ReTe PBE optimized geometry
data_Cs2ReTe
_symmetry_space_group_name_H-M 'I -4 2 d'
_symmetry_Int_Tables_number 122
_symmetry_space_group_name_Hall 'I -4 2bw'
_cell_length_a 13.9391
_cell_length_b 13.9391
_cell_length_c 5.0837
_cell_angle_alpha 90.00
_cell_angle_beta 90.00
_cell_angle_gamma 90.00
loop_
_atom_site_label
_atom_site_fract_x
_atom_site_fract_y
_atom_site_fract_z
Cs1 0.0754 0.2500 0.1250
Re1 0.0000 0.0000 0.5000
Te1 0.0000 0.0000 0.0000
# - total magnetization (μB per atom) = 0.574

***

The structure with the least stability is run 1.